18
Lattice="7.105 0.000 0.000 -3.553 6.153 0.000 0.000 0.000 14.773" Properties=species:S:1:pos:R:3 comment="RbThAgCl6 (PBE, relaxed)" dos_ef_per_ev_cell=0.0 spacegroup="No. 163" pbc="T T T"
Rb 0.000 0.000 0.000
Rb 0.000 0.000 7.386
Th 0.000 4.102 3.693
Th 3.553 2.051 11.079
Ag 0.000 4.102 11.079
Ag 3.553 2.051 3.693
Cl -1.235 2.285 2.118
Cl -2.192 3.941 5.269
Cl 1.235 2.285 5.269
Cl -0.956 6.081 2.118
Cl 2.596 0.072 9.504
Cl 1.361 2.212 12.655
Cl 2.192 3.941 2.118
Cl 0.956 6.081 5.269
Cl 4.509 0.072 12.655
Cl 2.317 3.869 9.504
Cl 5.744 2.212 9.504
Cl 4.788 3.869 12.655

---

12
Lattice="6.549 0.000 0.000 -0.142 6.857 0.000 -2.714 -1.943 8.815" Properties=species:S:1:pos:R:3 comment="RbThAg2Cl8 (PBE, relaxed)" dos_ef_per_ev_cell=2.7 spacegroup="No. 2" pbc="T T T"
Rb 0.000 0.000 0.000
Th -1.357 -0.971 4.407
Ag 0.836 1.072 7.147
Ag 2.856 3.842 1.668
Cl -1.296 1.480 8.543
Cl -0.049 1.387 4.824
Cl 0.560 5.140 2.861
Cl -0.336 4.932 6.644
Cl 4.029 -0.018 2.170
Cl 3.132 -0.226 5.954
Cl 3.742 3.527 3.991
Cl 4.988 3.434 0.272

---

10
Lattice="3.660 2.113 5.987 -3.660 2.113 5.987 0.000 -4.226 5.987" Properties=species:S:1:pos:R:3 comment="Rb2TiAgCl6 (PBE, relaxed)" dos_ef_per_ev_cell=6.7 spacegroup="No. 166" pbc="T T T"
Rb 0.000 0.000 4.490
Rb 0.000 0.000 13.470
Ti 0.000 0.000 0.000
Ag 0.000 0.000 8.980
Cl -1.935 -1.117 10.561
Cl 0.000 -2.235 7.399
Cl -1.935 1.117 7.399
Cl 1.935 -1.117 10.561
Cl 0.000 2.235 10.561
Cl 1.935 1.117 7.399

---

Ordered formation energy without anion corrections results: -1771; -1373; -1523; unit meV/atom.